An optimized crystal structure of MnGaSbTe2. Source: Alexandria via LeMat-Bulk, functional GGA-PBE.

Properties
As for the formation energy from raw total energies: 253 meV per atom. The value obtained for the total magnetization is 3.4 Bohr magnetons per cell. The value obtained for the relative energy among the computed polymorphs is 0.0000 eV per atom.

The structure in CIF format:
```
data_MnGaSbTe2
_chemical_formula_sum 'Mn1 Ga1 Sb1 Te2'
_cell_length_a 5.3557
_cell_length_b 5.3557
_cell_length_c 5.0766
_cell_angle_alpha 90.00
_cell_angle_beta 90.00
_cell_angle_gamma 90.00
_symmetry_space_group_name_H-M 'P 4/m m m'
_symmetry_Int_Tables_number 123
_symmetry_space_group_name_Hall '-P 4 2'
loop_
_atom_site_label
_atom_site_fract_x
_atom_site_fract_y
_atom_site_fract_z
Mn1 0.0000 0.0000 0.0000
Ga1 0.5000 0.5000 0.5000
Sb1 0.0000 0.0000 0.5000
Te1 0.0000 0.5000 0.0000
```

An optimized crystal structure of Rb4As2H. Source: Alexandria via LeMat-Bulk, functional GGA-PBE.

Properties
The value obtained for the total magnetization is 2.2 Bohr magnetons per cell. The value obtained for the relative energy among the computed polymorphs is 0.0646 eV per atom.

The structure in CIF format:
```
data_Rb4As2H
_chemical_formula_sum 'Rb8 As4 H2'
_cell_length_a 5.7559
_cell_length_b 5.7559
_cell_length_c 16.9723
_cell_angle_alpha 90.00
_cell_angle_beta 90.00
_cell_angle_gamma 90.00
_symmetry_space_group_name_H-M 'I 4/m m m'
_symmetry_Int_Tables_number 139
_symmetry_space_group_name_Hall '-I 4 2'
loop_
_atom_site_label
_atom_site_fract_x
_atom_site_fract_y
_atom_site_fract_z
Rb1 0.0000 0.0000 0.1925
Rb2 0.0000 0.5000 0.0000
As1 0.0000 0.0000 0.3885
H1 0.0000 0.0000 0.5000
```

An optimized crystal structure of Mn2NbAlC. Source: Alexandria via LeMat-Bulk, functional GGA-PBE.

Properties
The value obtained for the total magnetization is 13.0 Bohr magnetons per cell. The calculated formation energy comes out at -0.068 eV/atom. The value obtained for the relative energy among the computed polymorphs is 0.0789 eV per atom.

The structure in CIF format:
```
data_Mn2NbAlC
_chemical_formula_sum 'Mn8 Nb4 Al4 C4'
_cell_length_a 2.8350
_cell_length_b 12.7300
_cell_length_c 6.9881
_cell_angle_alpha 90.00
_cell_angle_beta 90.00
_cell_angle_gamma 90.00
_symmetry_space_group_name_H-M 'C m c m'
_symmetry_Int_Tables_number 63
_symmetry_space_group_name_Hall '-C 2c 2'
loop_
_atom_site_label
_atom_site_fract_x
_atom_site_fract_y
_atom_site_fract_z
Mn1 0.0000 0.1436 0.0613
Nb1 0.0000 0.4746 0.2500
Al1 0.0000 0.2297 0.7500
C1 0.0000 0.0000 0.0000
```

An optimized crystal structure of KAl2CuPt. Source: Alexandria via LeMat-Bulk, functional GGA-PBE.

Properties
The value obtained for the total magnetization is 0.0 Bohr magnetons per cell. The calculated formation energy comes out at 0.480 eV/atom.

The structure in CIF format:
```
data_KAl2CuPt
_chemical_formula_sum 'K1 Al2 Cu1 Pt1'
_cell_length_a 4.6058
_cell_length_b 4.6058
_cell_length_c 5.2424
_cell_angle_alpha 90.00
_cell_angle_beta 90.00
_cell_angle_gamma 90.00
_symmetry_space_group_name_H-M 'P 4/m m m'
_symmetry_Int_Tables_number 123
_symmetry_space_group_name_Hall '-P 4 2'
loop_
_atom_site_label
_atom_site_fract_x
_atom_site_fract_y
_atom_site_fract_z
K1 0.0000 0.0000 0.0000
Al1 0.0000 0.5000 0.5000
Cu1 0.0000 0.0000 0.5000
Pt1 0.5000 0.5000 0.0000
```